Entry 1:
A plane-wave DFT calculation with GGA-PBE was carried out for crystalline Cu2Ag7 at its relaxed geometry.

Properties
**Formation enthalpy at 0 K**: 61 meV per atom
**Total DFT energy (no corrections)**: -2.961 eV/atom
**Mass density**: 9.73 Mg/m³
**Energy relative to the lowest polymorph listed for this composition**: 0.035 eV per atom

CIF file:
```
data_Cu2Ag7
_symmetry_space_group_name_H-M 'C 1 2/m 1'
_symmetry_Int_Tables_number 12
_symmetry_space_group_name_Hall '-C 2y'
_cell_length_a 9.5965
_cell_length_b 2.9065
_cell_length_c 11.7981
_cell_angle_alpha 90.00
_cell_angle_beta 113.83
_cell_angle_gamma 90.00
loop_
_atom_site_label
_atom_site_fract_x
_atom_site_fract_y
_atom_site_fract_z
Cu1 0.0551 0.0000 0.2179
Ag1 0.0000 0.5000 0.0000
Ag2 0.1038 0.5000 0.4341
Ag3 0.1783 0.0000 0.6690
Ag4 0.2120 0.5000 0.8845
```

***

Entry 2:
A plane-wave DFT calculation with GGA-PBE was carried out for crystalline Cu4Ag3 at its relaxed geometry.

Properties
**Formation enthalpy at 0 K**: 98 meV per atom
**Total DFT energy (no corrections)**: -3.236 eV/atom
**Mass density**: 9.46 Mg/m³
**Energy relative to the lowest polymorph listed for this composition**: 0.050 eV per atom

CIF file:
```
data_Cu4Ag3
_symmetry_space_group_name_H-M 'C 1 m 1'
_symmetry_Int_Tables_number 8
_symmetry_space_group_name_Hall 'C -2y'
_cell_length_a 8.6683
_cell_length_b 3.8479
_cell_length_c 6.1450
_cell_angle_alpha 90.00
_cell_angle_beta 98.39
_cell_angle_gamma 90.00
loop_
_atom_site_label
_atom_site_fract_x
_atom_site_fract_y
_atom_site_fract_z
Cu1 0.0000 0.0000 0.0000
Cu2 0.0676 0.5000 0.7258
Cu3 0.2885 0.0000 0.8673
Cu4 0.4294 0.0000 0.2785
Ag1 0.1376 0.0000 0.4325
Ag2 0.2162 0.5000 0.1323
Ag3 0.3575 0.5000 0.5905
```

***

Entry 3:
A plane-wave DFT calculation with GGA-PBE was carried out for crystalline Cu3Ag2 at its relaxed geometry.

Properties
**Formation enthalpy at 0 K**: 95 meV per atom
**Total DFT energy (no corrections)**: -3.265 eV/atom
**Mass density**: 9.43 Mg/m³
**Energy relative to the lowest polymorph listed for this composition**: 0.053 eV per atom

CIF file:
```
data_Cu3Ag2
_symmetry_space_group_name_H-M 'C 1 2/m 1'
_symmetry_Int_Tables_number 12
_symmetry_space_group_name_Hall '-C 2y'
_cell_length_a 8.6783
_cell_length_b 3.8409
_cell_length_c 8.5936
_cell_angle_alpha 90.00
_cell_angle_beta 91.65
_cell_angle_gamma 90.00
loop_
_atom_site_label
_atom_site_fract_x
_atom_site_fract_y
_atom_site_fract_z
Cu1 0.1005 0.0000 0.1893
Cu2 0.1061 0.5000 0.7157
Cu3 0.1990 0.0000 0.9061
Ag1 0.0000 0.0000 0.5000
Ag2 0.0000 0.5000 0.0000
Ag3 0.1974 0.5000 0.3831
```

***

Entry 4:
A plane-wave DFT calculation with GGA-PBE was carried out for crystalline Cu5Ag3 at its relaxed geometry.

Properties
**Formation enthalpy at 0 K**: 94 meV per atom
**Total DFT energy (no corrections)**: -3.288 eV/atom
**Mass density**: 9.40 Mg/m³
**Energy relative to the lowest polymorph listed for this composition**: 0.047 eV per atom

CIF file:
```
data_Cu5Ag3
_symmetry_space_group_name_H-M 'C 1 m 1'
_symmetry_Int_Tables_number 8
_symmetry_space_group_name_Hall 'C -2y'
_cell_length_a 11.6577
_cell_length_b 2.7292
_cell_length_c 9.0462
_cell_angle_alpha 90.00
_cell_angle_beta 128.09
_cell_angle_gamma 90.00
loop_
_atom_site_label
_atom_site_fract_x
_atom_site_fract_y
_atom_site_fract_z
Cu1 0.0000 0.0000 0.0000
Cu2 0.0035 0.5000 0.4833
Cu3 0.1195 0.0000 0.3613
Cu4 0.3744 0.5000 0.5978
Cu5 0.3894 0.0000 0.1222
Ag1 0.1194 0.5000 0.8606
Ag2 0.2531 0.5000 0.2399
Ag3 0.2583 0.0000 0.7340
```

***

Entry 5:
A plane-wave DFT calculation with GGA-PBE was carried out for crystalline Cu3Ag5 at its relaxed geometry.

Properties
**Formation enthalpy at 0 K**: 61 meV per atom
**Total DFT energy (no corrections)**: -3.098 eV/atom
**Mass density**: 9.67 Mg/m³
**Energy relative to the lowest polymorph listed for this composition**: 0.024 eV per atom

CIF file:
```
data_Cu3Ag5
_symmetry_space_group_name_H-M 'C 1 2/m 1'
_symmetry_Int_Tables_number 12
_symmetry_space_group_name_Hall '-C 2y'
_cell_length_a 9.5008
_cell_length_b 2.8733
_cell_length_c 9.5059
_cell_angle_alpha 90.00
_cell_angle_beta 104.87
_cell_angle_gamma 90.00
loop_
_atom_site_label
_atom_site_fract_x
_atom_site_fract_y
_atom_site_fract_z
Cu1 0.0000 0.0000 0.0000
Cu2 0.2243 0.5000 0.1004
Ag1 0.0000 0.0000 0.5000
Ag2 0.0289 0.5000 0.7759
Ag3 0.2351 0.0000 0.3579
```

***

Entry 6:
A plane-wave DFT calculation with GGA-PBE was carried out for crystalline CuAg at its relaxed geometry.

Properties
**Formation enthalpy at 0 K**: 55 meV per atom
**Total DFT energy (no corrections)**: -3.216 eV/atom
**Mass density**: 9.54 Mg/m³

CIF file:
```
data_CuAg
_symmetry_space_group_name_H-M 'P 1'
_symmetry_Int_Tables_number 1
_symmetry_space_group_name_Hall 'P 1'
_cell_length_a 9.0327
_cell_length_b 9.3618
_cell_length_c 15.3859
_cell_angle_alpha 105.55
_cell_angle_beta 90.06
_cell_angle_gamma 107.12
loop_
_atom_site_label
_atom_site_fract_x
_atom_site_fract_y
_atom_site_fract_z
Cu1 0.0000 0.0000 0.0000
Cu2 0.0001 0.2860 0.0392
Cu3 0.0003 0.5730 0.0817
Cu4 0.0040 0.1482 0.1637
Cu5 0.0053 0.4411 0.2040
Cu6 0.0046 0.8597 0.1219
Cu7 0.0063 0.7272 0.2442
Cu8 0.0075 0.0067 0.2816
Cu9 0.2427 0.6389 0.0041
Cu10 0.2494 0.3642 0.9642
Cu11 0.2507 0.9237 0.0441
Cu12 0.2522 0.2139 0.0868
Cu13 0.2521 0.9214 0.3358
Cu14 0.2542 0.4989 0.1272
Cu15 0.2554 0.7840 0.1690
Cu16 0.2565 0.0694 0.2099
Cu17 0.2564 0.6405 0.2900
Cu18 0.2645 0.3602 0.2503
Cu19 0.4998 0.9845 0.9692
Cu20 0.5015 0.1325 0.1305
Cu21 0.5006 0.9926 0.2560
Cu22 0.5023 0.8465 0.0895
Cu23 0.5037 0.5540 0.0496
Cu24 0.5069 0.2709 0.0115
Cu25 0.5076 0.2752 0.2954
Cu26 0.5078 0.4217 0.1719
Cu27 0.5077 0.7079 0.2131
Cu28 0.5135 0.5494 0.3382
Cu29 0.7452 0.2159 0.9410
Cu30 0.7491 0.2114 0.2287
Cu31 0.7511 0.4959 0.9812
Cu32 0.7528 0.0689 0.0649
Cu33 0.7527 0.9244 0.1873
Cu34 0.7544 0.6393 0.1467
Cu35 0.7556 0.3548 0.1067
Cu36 0.7559 0.7808 0.0237
Cu37 0.7567 0.4974 0.2715
Cu38 0.7624 0.7770 0.3113
Cu39 0.9949 0.4456 0.9146
Cu40 0.9989 0.7195 0.9570
Ag1 0.0004 0.2205 0.6752
Ag2 0.9999 0.5367 0.7358
Ag3 0.0022 0.9016 0.6109
Ag4 0.0074 0.2717 0.5038
Ag5 0.0081 0.5864 0.5572
Ag6 0.0086 0.9522 0.4375
Ag7 0.0110 0.3179 0.3348
Ag8 0.0118 0.6359 0.3869
Ag9 0.2366 0.4407 0.8070
Ag10 0.2483 0.1268 0.7396
Ag11 0.2479 0.7610 0.8600
Ag12 0.2525 0.8137 0.6831
Ag13 0.2527 0.0712 0.9116
Ag14 0.2540 0.4958 0.6260
Ag15 0.2557 0.2219 0.3889
Ag16 0.2567 0.1788 0.5662
Ag17 0.2611 0.8653 0.5049
Ag18 0.2696 0.5475 0.4431
Ag19 0.4943 0.3532 0.8656
Ag20 0.4948 0.6726 0.9170
Ag21 0.5002 0.4027 0.6945
Ag22 0.5010 0.7181 0.7472
Ag23 0.5030 0.1367 0.4523
Ag24 0.5040 0.4506 0.5141
Ag25 0.5062 0.0368 0.8101
Ag26 0.5056 0.7683 0.5744
Ag27 0.5068 0.0867 0.6362
Ag28 0.5083 0.8325 0.3960
Ag29 0.7439 0.9189 0.8869
Ag30 0.7493 0.6999 0.4702
Ag31 0.7513 0.3346 0.5973
Ag32 0.7520 0.6042 0.8329
Ag33 0.7534 0.6510 0.6513
Ag34 0.7543 0.3863 0.4191
Ag35 0.7554 0.0181 0.5369
Ag36 0.7545 0.9691 0.7115
Ag37 0.7580 0.2904 0.7807
Ag38 0.7639 0.0729 0.3645
Ag39 0.9973 0.1612 0.8536
Ag40 0.9974 0.8495 0.7925
```

***

Entry 7:
A plane-wave DFT calculation with GGA-PBE was carried out for crystalline Cu3Ag2 at its relaxed geometry.

Properties
**Formation enthalpy at 0 K**: 74 meV per atom
**Total DFT energy (no corrections)**: -3.286 eV/atom
**Mass density**: 9.45 Mg/m³
**Energy relative to the lowest polymorph listed for this composition**: 0.032 eV per atom

CIF file:
```
data_Cu3Ag2
_symmetry_space_group_name_H-M 'C 1 2/m 1'
_symmetry_Int_Tables_number 12
_symmetry_space_group_name_Hall '-C 2y'
_cell_length_a 18.7610
_cell_length_b 2.7742
_cell_length_c 5.5457
_cell_angle_alpha 90.00
_cell_angle_beta 98.39
_cell_angle_gamma 90.00
loop_
_atom_site_label
_atom_site_fract_x
_atom_site_fract_y
_atom_site_fract_z
Cu1 0.1121 0.0000 0.0568
Cu2 0.2052 0.5000 0.8678
Cu3 0.2093 0.5000 0.3396
Ag1 0.0000 0.5000 0.2435
Ag2 0.1128 0.0000 0.5549
```

***

Entry 8:
A plane-wave DFT calculation with GGA-PBE was carried out for crystalline Cu3Ag2 at its relaxed geometry.

Properties
**Formation enthalpy at 0 K**: 71 meV per atom
**Total DFT energy (no corrections)**: -3.289 eV/atom
**Mass density**: 9.44 Mg/m³
**Energy relative to the lowest polymorph listed for this composition**: 0.029 eV per atom

CIF file:
```
data_Cu3Ag2
_symmetry_space_group_name_H-M 'P m m m'
_symmetry_Int_Tables_number 47
_symmetry_space_group_name_Hall '-P 2 2'
_cell_length_a 2.8125
_cell_length_b 3.4329
_cell_length_c 14.8045
_cell_angle_alpha 90.00
_cell_angle_beta 90.00
_cell_angle_gamma 90.00
loop_
_atom_site_label
_atom_site_fract_x
_atom_site_fract_y
_atom_site_fract_z
Cu1 0.0000 0.0000 0.0000
Cu2 0.0000 0.0000 0.1708
Cu3 0.5000 0.5000 0.0865
Cu4 0.5000 0.5000 0.5000
Ag1 0.0000 0.0000 0.3981
Ag2 0.5000 0.5000 0.2747
```